First-principles (PBE) data for a geometry-optimized SrLiAcIn structure, as listed in Alexandria via LeMat-Bulk.

```
SrLiAcIn
1.0
0.0000 4.0853 4.0853
4.0853 0.0000 4.0853
4.0853 4.0853 0.0000
Sr Li Ac In
1 1 1 1
direct
0.0000 0.0000 0.0000
0.2500 0.2500 0.2500
0.5000 0.5000 0.5000
0.7500 0.7500 0.7500
```

Calculated values
energy = -0.2089 Ry/atom
total moment = 0.00 μB/atom
V = 34.09 Å³ per atom